Arrangement a

# GGA+U MnTcP2O, relaxed
data_MnTcP2O
_symmetry_space_group_name_H-M 'P 1'
_symmetry_Int_Tables_number 1
_symmetry_space_group_name_Hall 'P 1'
_cell_length_a 4.808
_cell_length_b 4.808
_cell_length_c 3.699
_cell_angle_alpha 90.00
_cell_angle_beta 90.00
_cell_angle_gamma 90.00
loop_
_atom_site_label
_atom_site_type_symbol
_atom_site_fract_x
_atom_site_fract_y
_atom_site_fract_z
Mn1 Mn 0.000 0.000 0.000
Tc1 Tc 0.500 0.500 0.500
P1 P 0.000 0.500 0.500
P2 P 0.500 0.000 0.500
O1 O 0.500 0.500 0.000
# V: 85.48 Å³ per cell
# space group: P4/mmm, No. 123
# ρ: 4.49 Mg/m³


Arrangement b

# GGA+U MnTcP2O, relaxed
data_MnTcP2O
_symmetry_space_group_name_H-M 'P 1'
_symmetry_Int_Tables_number 1
_symmetry_space_group_name_Hall 'P 1'
_cell_length_a 4.694
_cell_length_b 4.694
_cell_length_c 3.524
_cell_angle_alpha 90.00
_cell_angle_beta 90.00
_cell_angle_gamma 90.00
loop_
_atom_site_label
_atom_site_type_symbol
_atom_site_fract_x
_atom_site_fract_y
_atom_site_fract_z
Mn1 Mn 0.000 0.000 0.000
Tc1 Tc 0.500 0.500 0.500
P1 P 0.000 0.500 0.000
P2 P 0.500 0.000 0.000
O1 O 0.000 0.000 0.500
# V: 77.66 Å³ per cell
# space group: P4/mmm, No. 123
# ρ: 4.94 Mg/m³


Most stable: arrangement a


Arrangement a

# GGA+U MnTePO2, relaxed
data_MnTePO2
_symmetry_space_group_name_H-M 'P 1'
_symmetry_Int_Tables_number 1
_symmetry_space_group_name_Hall 'P 1'
_cell_length_a 3.991
_cell_length_b 3.991
_cell_length_c 5.351
_cell_angle_alpha 90.00
_cell_angle_beta 90.00
_cell_angle_gamma 90.00
loop_
_atom_site_label
_atom_site_type_symbol
_atom_site_fract_x
_atom_site_fract_y
_atom_site_fract_z
Mn1 Mn 0.000 0.000 0.000
Te1 Te 0.500 0.500 0.500
P1 P 0.500 0.500 0.000
O1 O 0.000 0.500 0.500
O2 O 0.500 0.000 0.500
# V: 85.24 Å³ per cell
# space group: P4/mmm, No. 123
# ρ: 4.78 Mg/m³


Arrangement b

# GGA+U MnTePO2, relaxed
data_MnTePO2
_symmetry_space_group_name_H-M 'P 1'
_symmetry_Int_Tables_number 1
_symmetry_space_group_name_Hall 'P 1'
_cell_length_a 3.803
_cell_length_b 3.803
_cell_length_c 5.370
_cell_angle_alpha 90.00
_cell_angle_beta 90.00
_cell_angle_gamma 90.00
loop_
_atom_site_label
_atom_site_type_symbol
_atom_site_fract_x
_atom_site_fract_y
_atom_site_fract_z
Mn1 Mn 0.000 0.000 0.000
Te1 Te 0.500 0.500 0.500
P1 P 0.000 0.000 0.500
O1 O 0.000 0.500 0.000
O2 O 0.500 0.000 0.000
# V: 77.66 Å³ per cell
# space group: P4/mmm, No. 123
# ρ: 5.25 Mg/m³


Most stable: arrangement a


Arrangement a

# GGA+U TiMnP2O, relaxed
data_TiMnP2O
_symmetry_space_group_name_H-M 'P 1'
_symmetry_Int_Tables_number 1
_symmetry_space_group_name_Hall 'P 1'
_cell_length_a 4.667
_cell_length_b 4.667
_cell_length_c 3.587
_cell_angle_alpha 90.00
_cell_angle_beta 90.00
_cell_angle_gamma 90.00
loop_
_atom_site_label
_atom_site_type_symbol
_atom_site_fract_x
_atom_site_fract_y
_atom_site_fract_z
Ti1 Ti 0.000 0.000 0.000
Mn1 Mn 0.500 0.500 0.500
P1 P 0.000 0.500 0.500
P2 P 0.500 0.000 0.500
O1 O 0.500 0.500 0.000
# V: 78.11 Å³ per cell
# space group: P4/mmm, No. 123
# ρ: 3.84 Mg/m³


Arrangement b

# GGA+U TiMnP2O, relaxed
data_TiMnP2O
_symmetry_space_group_name_H-M 'P 1'
_symmetry_Int_Tables_number 1
_symmetry_space_group_name_Hall 'P 1'
_cell_length_a 4.930
_cell_length_b 4.930
_cell_length_c 3.673
_cell_angle_alpha 90.00
_cell_angle_beta 90.00
_cell_angle_gamma 90.00
loop_
_atom_site_label
_atom_site_type_symbol
_atom_site_fract_x
_atom_site_fract_y
_atom_site_fract_z
Ti1 Ti 0.000 0.000 0.000
Mn1 Mn 0.500 0.500 0.500
P1 P 0.000 0.500 0.000
P2 P 0.500 0.000 0.000
O1 O 0.000 0.000 0.500
# V: 89.25 Å³ per cell
# space group: P4/mmm, No. 123
# ρ: 3.36 Mg/m³


Most stable: arrangement b


Arrangement a

# GGA+U MnTlPO2, relaxed
data_MnTlPO2
_symmetry_space_group_name_H-M 'P 1'
_symmetry_Int_Tables_number 1
_symmetry_space_group_name_Hall 'P 1'
_cell_length_a 4.122
_cell_length_b 4.122
_cell_length_c 5.476
_cell_angle_alpha 90.00
_cell_angle_beta 90.00
_cell_angle_gamma 90.00
loop_
_atom_site_label
_atom_site_type_symbol
_atom_site_fract_x
_atom_site_fract_y
_atom_site_fract_z
Mn1 Mn 0.000 0.000 0.000
Tl1 Tl 0.500 0.500 0.500
P1 P 0.500 0.500 0.000
O1 O 0.000 0.500 0.500
O2 O 0.500 0.000 0.500
# V: 93.04 Å³ per cell
# space group: P4/mmm, No. 123
# ρ: 5.75 Mg/m³


Arrangement b

# GGA+U MnTlPO2, relaxed
data_MnTlPO2
_symmetry_space_group_name_H-M 'P 1'
_symmetry_Int_Tables_number 1
_symmetry_space_group_name_Hall 'P 1'
_cell_length_a 3.826
_cell_length_b 3.826
_cell_length_c 5.127
_cell_angle_alpha 90.00
_cell_angle_beta 90.00
_cell_angle_gamma 90.00
loop_
_atom_site_label
_atom_site_type_symbol
_atom_site_fract_x
_atom_site_fract_y
_atom_site_fract_z
Mn1 Mn 0.000 0.000 0.000
Tl1 Tl 0.500 0.500 0.500
P1 P 0.000 0.000 0.500
O1 O 0.000 0.500 0.000
O2 O 0.500 0.000 0.000
# V: 75.06 Å³ per cell
# space group: P4/mmm, No. 123
# ρ: 7.13 Mg/m³


Most stable: arrangement b


Arrangement a

# GGA+U MnTlP2O, relaxed
data_MnTlP2O
_symmetry_space_group_name_H-M 'P 1'
_symmetry_Int_Tables_number 1
_symmetry_space_group_name_Hall 'P 1'
_cell_length_a 5.100
_cell_length_b 5.100
_cell_length_c 4.033
_cell_angle_alpha 90.00
_cell_angle_beta 90.00
_cell_angle_gamma 90.00
loop_
_atom_site_label
_atom_site_type_symbol
_atom_site_fract_x
_atom_site_fract_y
_atom_site_fract_z
Mn1 Mn 0.000 0.000 0.000
Tl1 Tl 0.500 0.500 0.500
P1 P 0.000 0.500 0.500
P2 P 0.500 0.000 0.500
O1 O 0.500 0.500 0.000
# V: 104.92 Å³ per cell
# space group: P4/mmm, No. 123
# ρ: 5.34 Mg/m³


Arrangement b

# GGA+U MnTlP2O, relaxed
data_MnTlP2O
_symmetry_space_group_name_H-M 'P 1'
_symmetry_Int_Tables_number 1
_symmetry_space_group_name_Hall 'P 1'
_cell_length_a 4.841
_cell_length_b 4.841
_cell_length_c 3.473
_cell_angle_alpha 90.00
_cell_angle_beta 90.00
_cell_angle_gamma 90.00
loop_
_atom_site_label
_atom_site_type_symbol
_atom_site_fract_x
_atom_site_fract_y
_atom_site_fract_z
Mn1 Mn 0.000 0.000 0.000
Tl1 Tl 0.500 0.500 0.500
P1 P 0.000 0.500 0.000
P2 P 0.500 0.000 0.000
O1 O 0.000 0.000 0.500
# V: 81.42 Å³ per cell
# space group: P4/mmm, No. 123
# ρ: 6.88 Mg/m³


Most stable: arrangement b


Arrangement a

# GGA+U MnVPO2, relaxed
data_MnVPO2
_symmetry_space_group_name_H-M 'P 1'
_symmetry_Int_Tables_number 1
_symmetry_space_group_name_Hall 'P 1'
_cell_length_a 3.689
_cell_length_b 3.689
_cell_length_c 5.014
_cell_angle_alpha 90.00
_cell_angle_beta 90.00
_cell_angle_gamma 90.00
loop_
_atom_site_label
_atom_site_type_symbol
_atom_site_fract_x
_atom_site_fract_y
_atom_site_fract_z
Mn1 Mn 0.000 0.000 0.000
V1 V 0.500 0.500 0.500
P1 P 0.000 0.000 0.500
O1 O 0.000 0.500 0.000
O2 O 0.500 0.000 0.000
# V: 68.23 Å³ per cell
# space group: P4/mmm, No. 123
# ρ: 4.11 Mg/m³


Arrangement b

# GGA+U MnVPO2, relaxed
data_MnVPO2
_symmetry_space_group_name_H-M 'P 1'
_symmetry_Int_Tables_number 1
_symmetry_space_group_name_Hall 'P 1'
_cell_length_a 3.700
_cell_length_b 3.700
_cell_length_c 5.120
_cell_angle_alpha 90.00
_cell_angle_beta 90.00
_cell_angle_gamma 90.00
loop_
_atom_site_label
_atom_site_type_symbol
_atom_site_fract_x
_atom_site_fract_y
_atom_site_fract_z
Mn1 Mn 0.000 0.000 0.000
V1 V 0.500 0.500 0.500
P1 P 0.500 0.500 0.000
O1 O 0.000 0.500 0.500
O2 O 0.500 0.000 0.500
# V: 70.08 Å³ per cell
# space group: P4/mmm, No. 123
# ρ: 4.00 Mg/m³


Most stable: arrangement b


Arrangement a

# GGA+U MnZnP2O, relaxed
data_MnZnP2O
_symmetry_space_group_name_H-M 'P 1'
_symmetry_Int_Tables_number 1
_symmetry_space_group_name_Hall 'P 1'
_cell_length_a 4.668
_cell_length_b 4.668
_cell_length_c 3.402
_cell_angle_alpha 90.00
_cell_angle_beta 90.00
_cell_angle_gamma 90.00
loop_
_atom_site_label
_atom_site_type_symbol
_atom_site_fract_x
_atom_site_fract_y
_atom_site_fract_z
Mn1 Mn 0.000 0.000 0.000
Zn1 Zn 0.500 0.500 0.500
P1 P 0.000 0.500 0.000
P2 P 0.500 0.000 0.000
O1 O 0.000 0.000 0.500
# V: 74.13 Å³ per cell
# space group: P4/mmm, No. 123
# ρ: 4.44 Mg/m³


Arrangement b

# GGA+U MnZnP2O, relaxed
data_MnZnP2O
_symmetry_space_group_name_H-M 'P 1'
_symmetry_Int_Tables_number 1
_symmetry_space_group_name_Hall 'P 1'
_cell_length_a 4.924
_cell_length_b 4.924
_cell_length_c 3.571
_cell_angle_alpha 90.00
_cell_angle_beta 90.00
_cell_angle_gamma 90.00
loop_
_atom_site_label
_atom_site_type_symbol
_atom_site_fract_x
_atom_site_fract_y
_atom_site_fract_z
Mn1 Mn 0.000 0.000 0.000
Zn1 Zn 0.500 0.500 0.500
P1 P 0.000 0.500 0.500
P2 P 0.500 0.000 0.500
O1 O 0.500 0.500 0.000
# V: 86.57 Å³ per cell
# space group: P4/mmm, No. 123
# ρ: 3.80 Mg/m³


Most stable: arrangement b


Arrangement a

# GGA+U PaMnO4, relaxed
data_PaMnO4
_symmetry_space_group_name_H-M 'P 1'
_symmetry_Int_Tables_number 1
_symmetry_space_group_name_Hall 'P 1'
_cell_length_a 3.822
_cell_length_b 3.822
_cell_length_c 5.191
_cell_angle_alpha 98.17
_cell_angle_beta 98.17
_cell_angle_gamma 88.57
loop_
_atom_site_label
_atom_site_type_symbol
_atom_site_fract_x
_atom_site_fract_y
_atom_site_fract_z
Pa1 Pa 0.000 0.000 0.000
Mn1 Mn 0.500 0.500 0.500
O1 O 0.082 0.558 0.250
O2 O 0.442 0.918 0.750
O3 O 0.558 0.082 0.250
O4 O 0.918 0.442 0.750
# V: 74.32 Å³ per cell
# space group: C2/m, No. 12
# ρ: 7.82 Mg/m³


Arrangement b

# GGA+U PaMnO4, relaxed
data_PaMnO4
_symmetry_space_group_name_H-M 'P 1'
_symmetry_Int_Tables_number 1
_symmetry_space_group_name_Hall 'P 1'
_cell_length_a 5.776
_cell_length_b 5.776
_cell_length_c 5.776
_cell_angle_alpha 40.46
_cell_angle_beta 40.46
_cell_angle_gamma 40.46
loop_
_atom_site_label
_atom_site_type_symbol
_atom_site_fract_x
_atom_site_fract_y
_atom_site_fract_z
Pa1 Pa 0.000 0.000 0.000
Mn1 Mn 0.500 0.500 0.500
O1 O 0.129 0.129 0.129
O2 O 0.377 0.377 0.377
O3 O 0.623 0.623 0.623
O4 O 0.871 0.871 0.871
# V: 73.16 Å³ per cell
# space group: R-3m, No. 166
# ρ: 7.94 Mg/m³


Most stable: arrangement a


Arrangement a

# GGA+U Mn3PbO, relaxed
data_Mn3PbO
_symmetry_space_group_name_H-M 'P 1'
_symmetry_Int_Tables_number 1
_symmetry_space_group_name_Hall 'P 1'
_cell_length_a 5.288
_cell_length_b 5.288
_cell_length_c 5.288
_cell_angle_alpha 90.00
_cell_angle_beta 90.00
_cell_angle_gamma 90.00
loop_
_atom_site_label
_atom_site_type_symbol
_atom_site_fract_x
_atom_site_fract_y
_atom_site_fract_z
Mn1 Mn 0.000 0.000 0.500
Mn2 Mn 0.000 0.500 0.000
Mn3 Mn 0.500 0.000 0.000
Pb1 Pb 0.000 0.000 0.000
O1 O 0.500 0.500 0.500
# V: 147.83 Å³ per cell
# space group: Pm-3m, No. 221
# ρ: 4.36 Mg/m³


Arrangement b

# GGA+U Mn3PbO, relaxed
data_Mn3PbO
_symmetry_space_group_name_H-M 'P 1'
_symmetry_Int_Tables_number 1
_symmetry_space_group_name_Hall 'P 1'
_cell_length_a 4.509
_cell_length_b 4.509
_cell_length_c 4.509
_cell_angle_alpha 90.00
_cell_angle_beta 90.00
_cell_angle_gamma 90.00
loop_
_atom_site_label
_atom_site_type_symbol
_atom_site_fract_x
_atom_site_fract_y
_atom_site_fract_z
Mn1 Mn 0.000 0.000 0.500
Mn2 Mn 0.000 0.500 0.000
Mn3 Mn 0.500 0.000 0.000
Pb1 Pb 0.500 0.500 0.500
O1 O 0.000 0.000 0.000
# V: 91.66 Å³ per cell
# space group: Pm-3m, No. 221
# ρ: 7.03 Mg/m³


Most stable: arrangement b


Arrangement a

# GGA+U Mn2Pb2O5, relaxed
data_Mn2Pb2O5
_symmetry_space_group_name_H-M 'P 1'
_symmetry_Int_Tables_number 1
_symmetry_space_group_name_Hall 'P 1'
_cell_length_a 8.133
_cell_length_b 8.133
_cell_length_c 5.610
_cell_angle_alpha 90.00
_cell_angle_beta 90.00
_cell_angle_gamma 59.50
loop_
_atom_site_label
_atom_site_type_symbol
_atom_site_fract_x
_atom_site_fract_y
_atom_site_fract_z
Mn1 Mn 0.236 0.764 0.972
Mn2 Mn 0.264 0.736 0.472
Mn3 Mn 0.736 0.264 0.528
Mn4 Mn 0.764 0.236 0.028
Pb1 Pb 0.156 0.156 0.500
Pb2 Pb 0.344 0.344 0.000
Pb3 Pb 0.656 0.656 0.000
Pb4 Pb 0.844 0.844 0.500
O1 O 0.000 0.000 0.500
O2 O 0.143 0.664 0.224
O3 O 0.164 0.643 0.724
O4 O 0.336 0.857 0.224
O5 O 0.357 0.836 0.724
O6 O 0.500 0.500 0.000
O7 O 0.643 0.164 0.276
O8 O 0.664 0.143 0.776
O9 O 0.836 0.357 0.276
O10 O 0.857 0.336 0.776
# V: 319.75 Å³ per cell
# space group: Cmce, No. 64
# ρ: 6.28 Mg/m³


Arrangement b

# GGA+U Mn2Pb2O5, relaxed
data_Mn2Pb2O5
_symmetry_space_group_name_H-M 'P 1'
_symmetry_Int_Tables_number 1
_symmetry_space_group_name_Hall 'P 1'
_cell_length_a 5.926
_cell_length_b 3.838
_cell_length_c 22.189
_cell_angle_alpha 90.00
_cell_angle_beta 90.00
_cell_angle_gamma 90.00
loop_
_atom_site_label
_atom_site_type_symbol
_atom_site_fract_x
_atom_site_fract_y
_atom_site_fract_z
Mn1 Mn 0.066 0.250 0.050
Mn2 Mn 0.107 0.250 0.314
Mn3 Mn 0.393 0.750 0.814
Mn4 Mn 0.434 0.750 0.550
Mn5 Mn 0.566 0.250 0.450
Mn6 Mn 0.607 0.250 0.186
Mn7 Mn 0.893 0.750 0.686
Mn8 Mn 0.934 0.750 0.950
Pb1 Pb 0.071 0.750 0.429
Pb2 Pb 0.150 0.750 0.189
Pb3 Pb 0.350 0.250 0.689
Pb4 Pb 0.429 0.250 0.929
Pb5 Pb 0.571 0.750 0.071
Pb6 Pb 0.650 0.750 0.311
Pb7 Pb 0.850 0.250 0.811
Pb8 Pb 0.929 0.250 0.571
O1 O 0.060 0.750 0.324
O2 O 0.108 0.750 0.027
O3 O 0.154 0.750 0.743
O4 O 0.195 0.750 0.607
O5 O 0.202 0.750 0.888
O6 O 0.298 0.250 0.388
O7 O 0.305 0.250 0.107
O8 O 0.346 0.250 0.243
O9 O 0.392 0.250 0.527
O10 O 0.440 0.250 0.824
O11 O 0.560 0.750 0.176
O12 O 0.608 0.750 0.473
O13 O 0.654 0.750 0.757
O14 O 0.695 0.750 0.893
O15 O 0.702 0.750 0.612
O16 O 0.798 0.250 0.112
O17 O 0.805 0.250 0.393
O18 O 0.846 0.250 0.257
O19 O 0.892 0.250 0.973
O20 O 0.940 0.250 0.676
# V: 504.58 Å³ per cell
# space group: Pnma, No. 62
# ρ: 7.95 Mg/m³


Most stable: arrangement b


Arrangement a

# GGA+U MnPb2O2, relaxed
data_MnPb2O2
_symmetry_space_group_name_H-M 'P 1'
_symmetry_Int_Tables_number 1
_symmetry_space_group_name_Hall 'P 1'
_cell_length_a 7.948
_cell_length_b 7.948
_cell_length_c 3.442
_cell_angle_alpha 90.00
_cell_angle_beta 90.00
_cell_angle_gamma 90.00
loop_
_atom_site_label
_atom_site_type_symbol
_atom_site_fract_x
_atom_site_fract_y
_atom_site_fract_z
Mn1 Mn 0.000 0.000 0.000
Mn2 Mn 0.500 0.500 0.000
Pb1 Pb 0.158 0.342 0.000
Pb2 Pb 0.342 0.842 0.000
Pb3 Pb 0.658 0.158 0.000
Pb4 Pb 0.842 0.658 0.000
O1 O 0.210 0.710 0.500
O2 O 0.290 0.210 0.500
O3 O 0.710 0.790 0.500
O4 O 0.790 0.290 0.500
# V: 217.42 Å³ per cell
# space group: P4/mbm, No. 127
# ρ: 7.66 Mg/m³


Arrangement b

# GGA+U MnPb2O2, relaxed
data_MnPb2O2
_symmetry_space_group_name_H-M 'P 1'
_symmetry_Int_Tables_number 1
_symmetry_space_group_name_Hall 'P 1'
_cell_length_a 7.522
_cell_length_b 7.522
_cell_length_c 7.522
_cell_angle_alpha 148.82
_cell_angle_beta 148.82
_cell_angle_gamma 44.67
loop_
_atom_site_label
_atom_site_type_symbol
_atom_site_fract_x
_atom_site_fract_y
_atom_site_fract_z
Mn1 Mn 0.000 0.000 0.000
Pb1 Pb 0.337 0.337 0.000
Pb2 Pb 0.663 0.663 0.000
O1 O 0.250 0.750 0.500
O2 O 0.750 0.250 0.500
# V: 113.73 Å³ per cell
# space group: I4/mmm, No. 139
# ρ: 7.32 Mg/m³


Most stable: arrangement b